Record 1
Computed, not measured: PrMgIn after structural relaxation at the PBE-GGA level of DFT.

a = 7.7556 Å, b = 7.7556 Å, c = 4.8031 Å
α = 90.00°, β = 90.00°, γ = 120.00°
Positions (direct):
Pr 0.0000 0.5703 0.0000
Pr 0.4297 0.4297 0.0000
Pr 0.5703 0.0000 0.0000
Mg 0.0000 0.2411 0.5000
Mg 0.2411 0.0000 0.5000
Mg 0.7589 0.7589 0.5000
In 0.0000 0.0000 0.0000
In 0.3333 0.6667 0.5000
In 0.6667 0.3333 0.5000

## Properties
Total magnetization (μB per atom): 0.000
Formation enthalpy at 0 K (eV/atom): -0.421
Uncorrected energy (eV per atom): -3.458


Record 2
Computed, not measured: Pr6Mg2In after structural relaxation at the PBE-GGA level of DFT.

a = 10.5237 Å, b = 10.5237 Å, c = 5.2616 Å
α = 90.00°, β = 90.00°, γ = 90.00°
Positions (direct):
Pr 0.0118 0.3251 0.0000
Pr 0.1348 0.8652 0.5000
Pr 0.1749 0.5118 0.5000
Pr 0.3251 0.0118 0.0000
Pr 0.3652 0.3652 0.0000
Pr 0.4882 0.8251 0.5000
Pr 0.5118 0.1749 0.5000
Pr 0.6348 0.6348 0.0000
Pr 0.6749 0.9882 0.0000
Pr 0.8251 0.4882 0.5000
Pr 0.8652 0.1348 0.5000
Pr 0.9882 0.6749 0.0000
Mg 0.1880 0.1880 0.5000
Mg 0.3120 0.6880 0.0000
Mg 0.6880 0.3120 0.0000
Mg 0.8120 0.8120 0.5000
In 0.0000 0.0000 0.0000
In 0.5000 0.5000 0.5000

## Properties
Total magnetization (μB per atom): 0.000
Formation enthalpy at 0 K (eV/atom): -0.107
Uncorrected energy (eV per atom): -3.952


Record 3
Computed, not measured: Pr6MgIn2 after structural relaxation at the PBE-GGA level of DFT.

a = 5.9818 Å, b = 9.5626 Å, c = 10.6919 Å
α = 90.00°, β = 109.88°, γ = 90.00°
Positions (direct):
Pr 0.0386 0.1711 0.0622
Pr 0.0386 0.3289 0.5622
Pr 0.1488 0.5082 0.1854
Pr 0.1488 0.9918 0.6854
Pr 0.4196 0.1586 0.4215
Pr 0.4196 0.3414 0.9215
Pr 0.5804 0.6586 0.0785
Pr 0.5804 0.8414 0.5785
Pr 0.8512 0.0082 0.3146
Pr 0.8512 0.4918 0.8146
Pr 0.9614 0.6711 0.4378
Pr 0.9614 0.8289 0.9378
Mg 0.5000 0.0000 0.0000
Mg 0.5000 0.5000 0.5000
In 0.3130 0.6544 0.7542
In 0.3130 0.8456 0.2542
In 0.6870 0.1544 0.7458
In 0.6870 0.3456 0.2458

## Properties
Total magnetization (μB per atom): 0.037
Formation enthalpy at 0 K (eV/atom): -0.151
Uncorrected energy (eV per atom): -4.123